(1)
Below is crystalline HfMnNb at its relaxed geometry, with properties calculated at the PBE level.

Computed properties:
Calculated density ... 10.33 g cm⁻³
N(E_F) ... 12.376 states/eV per cell
Total moment ... 0.0 μB per cell
Uncorrected energy ... -9.530 eV per atom

Cell: 2.876 13.639 5.348 Å, 90.00 90.00 90.00°
Fractional coordinates of all 12 atoms:
Hf 0.214 0.185 0.250
Hf 0.214 0.315 0.750
Hf 0.786 0.685 0.250
Hf 0.786 0.815 0.750
Mn 0.180 0.647 0.750
Mn 0.180 0.853 0.250
Mn 0.820 0.147 0.750
Mn 0.820 0.353 0.250
Nb 0.500 0.000 0.000
Nb 0.500 0.000 0.500
Nb 0.500 0.500 0.000
Nb 0.500 0.500 0.500

(2)
Below is crystalline HfPaMnNb at its relaxed geometry, with properties calculated at the PBE level.

Computed properties:
Calculated density ... 12.19 g cm⁻³
N(E_F) ... 4.975 states/eV per cell
Total moment ... 0.8 μB per cell
Uncorrected energy ... -9.605 eV per atom

Cell: 4.753 4.753 4.753 Å, 60.00 60.00 60.00°
Fractional coordinates of all 4 atoms:
Hf 0.000 0.000 0.000
Pa 0.500 0.500 0.500
Mn 0.750 0.750 0.750
Nb 0.250 0.250 0.250